Material: Bi2Pt2N
Method: DFT, GGA-PBEsol
State: relaxed

Volume (Å³ per atom): 19.9
ρ (g/cm3): 13.7
D(E_F) (states/eV per atom): 0.496
Space-group type: No. 139
DFT total energy (eV per atom): -5.56
Formation energy (no corrections) (meV per atom): 644

a = 3.6506 Å, b = 3.6506 Å, c = 14.9013 Å
α = 90.00°, β = 90.00°, γ = 90.00°
Closest atoms and distances in Å follow each position.
Sites, in units of the cell vectors:
Bi 0.0000 0.0000 0.1002  4 Pt 2.88, 4 N 2.98, 1 Bi 2.98
Bi 0.0000 0.0000 0.8998  4 Pt 2.88, 4 N 2.98, 1 Bi 2.98
Bi 0.5000 0.5000 0.3998  4 Pt 2.88, 4 N 2.98, 1 Bi 2.98
Bi 0.5000 0.5000 0.6002  4 Pt 2.88, 4 N 2.98, 1 Bi 2.98
Pt 0.0000 0.5000 0.2500  4 Pt 2.58, 4 Bi 2.88
Pt 0.0000 0.5000 0.7500  4 Pt 2.58, 4 Bi 2.88
Pt 0.5000 0.0000 0.2500  4 Pt 2.58, 4 Bi 2.88
Pt 0.5000 0.0000 0.7500  4 Pt 2.58, 4 Bi 2.88
N 0.0000 0.0000 0.5000  8 Bi 2.98
N 0.5000 0.5000 0.0000  8 Bi 2.98

---

Material: BiPtSeN2
Method: DFT, GGA-PBEsol
State: relaxed

Volume (Å³ per atom): 16.4
ρ (g/cm3): 10.3
D(E_F) (states/eV per atom): 0.753
Space-group type: No. 123
DFT total energy (eV per atom): -5.40
Formation energy (no corrections) (meV per atom): 1031

a = 3.9824 Å, b = 3.9824 Å, c = 5.1706 Å
α = 90.00°, β = 90.00°, γ = 90.00°
Closest atoms and distances in Å follow each position.
Sites, in units of the cell vectors:
Bi 0.0000 0.0000 0.0000  4 Se 2.82
Pt 0.5000 0.5000 0.5000  4 N 1.99
Se 0.5000 0.5000 0.0000  2 Pt 2.59, 4 Bi 2.82
N 0.0000 0.5000 0.5000  2 Pt 1.99
N 0.5000 0.0000 0.5000  2 Pt 1.99

---

Material: BiTe2PtN
Method: DFT, GGA-PBEsol
State: relaxed

Volume (Å³ per atom): 26.4
ρ (g/cm3): 8.5
D(E_F) (states/eV per atom): 1.195
Space-group type: No. 123
DFT total energy (eV per atom): -3.80
Formation energy (no corrections) (meV per atom): 1565

a = 5.7477 Å, b = 5.7477 Å, c = 4.0009 Å
α = 90.00°, β = 90.00°, γ = 90.00°
Closest atoms and distances in Å follow each position.
Sites, in units of the cell vectors:
Bi 0.0000 0.0000 0.0000  2 N 2.00
Te 0.0000 0.5000 0.0000  2 Bi 2.87
Te 0.5000 0.0000 0.0000  2 Bi 2.87
Pt 0.5000 0.5000 0.5000  8 Te 3.50
N 0.0000 0.0000 0.5000  2 Bi 2.00